Crystalline TmB3W at its relaxed geometry, computed with PBE.

Values from the calculation:
Space-group type ... No. 63

a = 3.4869 Å, b = 3.1705 Å, c = 10.0018 Å
α = 90.00°, β = 100.04°, γ = 90.00°
With the nearest neighbours (Å) after each atom.
Atoms (fractional coordinates):
B1 0.4768 0.2500 0.9537  3 B 1.83-1.95
B2 0.5232 0.7500 0.0463  3 B 1.83-1.95
B3 0.3285 0.7500 0.6569  2 B 1.86
B4 0.3778 0.2500 0.7556  3 B 1.86-1.95
B5 0.6222 0.7500 0.2444  3 B 1.86-1.95
B6 0.6715 0.2500 0.3431  2 B 1.86
W1 0.7930 0.2500 0.5860  7 B 2.39-2.46
W2 0.2070 0.7500 0.4140  7 B 2.39-2.46
Tm1 0.9269 0.7500 0.8538  12 B 2.55-2.61
Tm2 0.0731 0.2500 0.1462  12 B 2.55-2.61

---

Crystalline TmB4W at its relaxed geometry, computed with PBE.

Values from the calculation:
Space-group type ... No. 55

a = 3.6032 Å, b = 6.0100 Å, c = 11.6009 Å
α = 90.00°, β = 90.00°, γ = 90.00°
With the nearest neighbours (Å) after each atom.
Atoms (fractional coordinates):
B1 0.5000 0.5227 0.8058  3 B 1.78-1.87
B2 0.5000 0.6325 0.5319  3 B 1.76-1.86
B3 0.5000 0.7114 0.6868  3 B 1.79-1.87
B4 0.5000 0.9773 0.3058  3 B 1.78-1.87
B5 0.5000 0.3854 0.0480  3 B 1.77-1.78
B6 0.5000 0.8854 0.4520  3 B 1.77-1.78
B7 0.5000 0.3675 0.4681  3 B 1.76-1.86
B8 0.5000 0.2886 0.3132  3 B 1.79-1.87
B9 0.5000 0.2114 0.8132  3 B 1.79-1.87
B10 0.5000 0.0227 0.6942  3 B 1.78-1.87
B11 0.5000 0.4773 0.1942  3 B 1.78-1.87
B12 0.5000 0.8675 0.0319  3 B 1.76-1.86
B13 0.5000 0.1146 0.5480  3 B 1.77-1.78
B14 0.5000 0.1325 0.9681  3 B 1.76-1.86
B15 0.5000 0.7886 0.1868  3 B 1.79-1.87
B16 0.5000 0.6146 0.9520  3 B 1.77-1.78
W1 0.0000 0.8683 0.5848  10 B 2.35-2.39, 1 W 2.53
W2 0.0000 0.6317 0.0848  10 B 2.35-2.39, 1 W 2.53
W3 0.0000 0.1317 0.4152  10 B 2.35-2.39, 1 W 2.53
W4 0.0000 0.3683 0.9152  10 B 2.35-2.39, 1 W 2.53
Tm1 0.0000 0.8726 0.8507  14 B 2.65-2.82
Tm2 0.0000 0.3726 0.6493  14 B 2.65-2.82
Tm3 0.0000 0.6274 0.3507  14 B 2.65-2.82
Tm4 0.0000 0.1274 0.1493  14 B 2.65-2.82

---

no.,raw total energy (eV per atom)
1,-8.006
2,-7.964